(1)
The following is a PBE calculation of a relaxed Pm3Sn2Pb2 crystal, from the Alexandria database.

Results
ΔE_f   -3.48 eV/f.u.
V   424 Å³ per cell
Space-group type   P2_1/c (14)

Cell: 6.414 10.559 6.496 Å, 90.00 105.65 90.00°
Sites, in units of the cell vectors:
Pm 0.000 0.000 0.000
Pm 0.000 0.500 0.500
Pm 0.293 0.114 0.554
Pm 0.293 0.386 0.054
Pm 0.707 0.614 0.946
Pm 0.707 0.886 0.446
Sn 0.484 0.111 0.121
Sn 0.484 0.389 0.621
Sn 0.516 0.611 0.379
Sn 0.516 0.889 0.879
Pb 0.159 0.705 0.889
Pb 0.159 0.795 0.389
Pb 0.841 0.205 0.611
Pb 0.841 0.295 0.111

***

(2)
The following is a PBE calculation of a relaxed AgPd2S3 crystal, from the Alexandria database.

Results
Formation energy (no corrections)   -0.22 eV per atom
V   226 Å³ per cell
Space-group type   P-3m1 (164)

Cell: 7.105 7.105 5.174 Å, 90.00 90.00 120.00°
Sites, in units of the cell vectors:
Ag 0.333 0.667 0.112
Ag 0.667 0.333 0.888
Pd 0.000 0.000 0.500
Pd 0.000 0.500 0.500
Pd 0.500 0.000 0.500
Pd 0.500 0.500 0.500
S 0.173 0.347 0.733
S 0.173 0.827 0.733
S 0.347 0.173 0.267
S 0.653 0.827 0.733
S 0.827 0.173 0.267
S 0.827 0.653 0.267

***

(3)
The following is a PBE calculation of a relaxed Zr3Mn crystal, from the Alexandria database.

Results
ΔE_f   0.67 eV/f.u.
V   81 Å³ per cell
Space-group type   P4/mmm (123)

Cell: 4.888 4.888 3.411 Å, 90.00 90.00 90.00°
Sites, in units of the cell vectors:
Zr 0.000 0.000 0.000
Zr 0.000 0.500 0.500
Zr 0.500 0.000 0.500
Mn 0.500 0.500 0.000

***

(4)
The following is a PBE calculation of a relaxed CeBeSi crystal, from the Alexandria database.

Results
Formation energy (no corrections)   -0.54 eV per atom
V   55 Å³ per cell
Space-group type   P-6m2 (187)

Cell: 3.886 3.886 4.214 Å, 90.00 90.00 120.00°
Sites, in units of the cell vectors:
Ce 0.000 0.000 0.000
Be 0.667 0.333 0.500
Si 0.333 0.667 0.500

***

(5)
The following is a PBE calculation of a relaxed Li2InAsS4 crystal, from the Alexandria database.

Results
Formation energy (no corrections)   -0.71 eV per atom
V   296 Å³ per cell
Space-group type   Imma (74)

Cell: 7.479 7.479 7.479 Å, 120.25 119.63 90.11°
Sites, in units of the cell vectors:
Li 0.000 0.000 0.000
Li 0.500 0.000 0.000
Li 0.500 0.000 0.500
Li 0.500 0.500 0.500
In 0.000 0.500 0.500
In 0.500 0.500 0.000
As 0.000 0.000 0.500
As 0.000 0.500 0.000
S 0.241 0.249 0.992
S 0.244 0.751 0.492
S 0.247 0.248 0.501
S 0.247 0.745 0.999
S 0.753 0.255 0.001
S 0.753 0.752 0.499
S 0.756 0.249 0.508
S 0.759 0.751 0.008

***

(6)
The following is a PBE calculation of a relaxed MnH2Pd crystal, from the Alexandria database.

Results
V   148 Å³ per cell
Distance to the lowest polymorph of the same formula   38.8 kJ per mole of atoms
Space-group type   Fm-3m (225)

Cell: 5.290 5.290 5.290 Å, 90.00 90.00 90.00°
Sites, in units of the cell vectors:
Mn 0.000 0.000 0.000
Mn 0.000 0.500 0.500
Mn 0.500 0.000 0.500
Mn 0.500 0.500 0.000
H 0.250 0.250 0.250
H 0.250 0.250 0.750
H 0.250 0.750 0.250
H 0.250 0.750 0.750
H 0.750 0.250 0.250
H 0.750 0.250 0.750
H 0.750 0.750 0.250
H 0.750 0.750 0.750
Pd 0.000 0.000 0.500
Pd 0.000 0.500 0.000
Pd 0.500 0.000 0.000
Pd 0.500 0.500 0.500